# 1
Below is a geometry-optimized Sm3TlPt structure, with properties calculated at the GGA-PBE level.

Cell and atoms, written as CIF:
```
data_Sm3TlPt
_chemical_formula_sum 'Sm6 Tl2 Pt2'
_space_group_name_H-M_alt 'P 1'
_space_group_IT_number 1
_space_group_name_Hall 'P 1'
_cell_length_a 4.051
_cell_length_b 9.095
_cell_length_c 9.096
_cell_angle_alpha 69.02
_cell_angle_beta 90.00
_cell_angle_gamma 90.00
loop_
_atom_site_label
_atom_site_type_symbol
_atom_site_fract_x
_atom_site_fract_y
_atom_site_fract_z
_atom_site_occupancy
Sm1 Sm 0.864 0.375 0.826 1
Sm2 Sm 0.864 0.014 0.667 1
Sm3 Sm 0.863 0.614 0.066 1
Sm4 Sm 0.363 0.021 0.074 1
Sm5 Sm 0.863 0.774 0.427 1
Sm6 Sm 0.363 0.367 0.419 1
Tl1 Tl 0.363 0.694 0.746 1
Tl2 Tl 0.863 0.194 0.246 1
Pt1 Pt 0.363 0.694 0.247 1
Pt2 Pt 0.364 0.194 0.746 1
```

* space-group type: Cmmm (65)
* E_form: -0.54 eV/atom
* energy relative to the lowest polymorph listed for this composition: 0.0 meV per atom



# 2
Below is a geometry-optimized Pu2CdHg structure, with properties calculated at the GGA-PBE level.

Cell and atoms, written as CIF:
```
data_Pu2CdHg
_chemical_formula_sum 'Pu2 Cd1 Hg1'
_space_group_name_H-M_alt 'P 1'
_space_group_IT_number 1
_space_group_name_Hall 'P 1'
_cell_length_a 4.951
_cell_length_b 4.445
_cell_length_c 4.445
_cell_angle_alpha 90.00
_cell_angle_beta 90.00
_cell_angle_gamma 90.00
loop_
_atom_site_label
_atom_site_type_symbol
_atom_site_fract_x
_atom_site_fract_y
_atom_site_fract_z
_atom_site_occupancy
Cd1 Cd 0.500 0.500 0.500 1
Hg1 Hg 0.500 0.000 0.000 1
Pu1 Pu 0.000 0.000 0.500 1
Pu2 Pu 0.000 0.500 0.000 1
```

* space-group type: P4/mmm (123)
* E_form: -0.07 eV/atom
* energy relative to the lowest polymorph listed for this composition: 0.0 meV per atom



# 3
Below is a geometry-optimized Ba2ZrZnSe5 structure, with properties calculated at the GGA-PBE level.

Cell and atoms, written as CIF:
```
data_Ba2ZrZnSe5
_chemical_formula_sum 'Ba4 Zr2 Zn2 Se10'
_space_group_name_H-M_alt 'P 1'
_space_group_IT_number 1
_space_group_name_Hall 'P 1'
_cell_length_a 4.171
_cell_length_b 9.711
_cell_length_c 13.197
_cell_angle_alpha 90.00
_cell_angle_beta 90.00
_cell_angle_gamma 102.40
loop_
_atom_site_label
_atom_site_type_symbol
_atom_site_fract_x
_atom_site_fract_y
_atom_site_fract_z
_atom_site_occupancy
Ba1 Ba 0.875 0.750 0.812 1
Ba2 Ba 0.115 0.229 0.690 1
Ba3 Ba 0.125 0.250 0.312 1
Ba4 Ba 0.885 0.771 0.190 1
Zr1 Zr 0.791 0.583 0.516 1
Zr2 Zr 0.209 0.417 0.016 1
Zn1 Zn 0.562 0.124 0.944 1
Zn2 Zn 0.438 0.876 0.444 1
Se1 Se 0.347 0.695 0.004 1
Se2 Se 0.696 0.392 0.875 1
Se3 Se 0.502 0.005 0.783 1
Se4 Se 0.288 0.576 0.652 1
Se5 Se 0.937 0.873 0.548 1
Se6 Se 0.653 0.305 0.504 1
Se7 Se 0.304 0.608 0.375 1
Se8 Se 0.498 0.995 0.283 1
Se9 Se 0.712 0.424 0.152 1
Se10 Se 0.063 0.127 0.048 1
```

* space-group type: Cmc2_1 (36)
* calculated total energy: -4.9625 eV per atom



# 4
Below is a geometry-optimized Pm3IrPd2 structure, with properties calculated at the GGA-PBE level.

Cell and atoms, written as CIF:
```
data_Pm3IrPd2
_chemical_formula_sum 'Pm6 Ir2 Pd4'
_space_group_name_H-M_alt 'P 1'
_space_group_IT_number 1
_space_group_name_Hall 'P 1'
_cell_length_a 5.057
_cell_length_b 8.012
_cell_length_c 7.118
_cell_angle_alpha 90.00
_cell_angle_beta 90.00
_cell_angle_gamma 71.61
loop_
_atom_site_label
_atom_site_type_symbol
_atom_site_fract_x
_atom_site_fract_y
_atom_site_fract_z
_atom_site_occupancy
Pm1 Pm 0.831 0.339 0.759 1
Pm2 Pm 0.500 0.000 0.244 1
Pm3 Pm 0.169 0.661 0.241 1
Pm4 Pm 0.830 0.339 0.241 1
Pm5 Pm 0.170 0.661 0.759 1
Pm6 Pm 0.500 0.000 0.756 1
Ir1 Ir 0.337 0.327 0.000 1
Ir2 Ir 0.663 0.673 0.000 1
Pd1 Pd 0.000 0.000 0.000 1
Pd2 Pd 0.000 0.000 0.500 1
Pd3 Pd 0.333 0.334 0.500 1
Pd4 Pd 0.667 0.666 0.500 1
```

* space-group type: Cmmm (65)
* E_form: -0.75 eV/atom
* energy relative to the lowest polymorph listed for this composition: 2.3 meV per atom



# 5
Below is a geometry-optimized AcDy4Ho2Tm structure, with properties calculated at the GGA-PBE level.

Cell and atoms, written as CIF:
```
data_AcDy4Ho2Tm
_chemical_formula_sum 'Ac1 Dy4 Ho2 Tm1'
_space_group_name_H-M_alt 'P 1'
_space_group_IT_number 1
_space_group_name_Hall 'P 1'
_cell_length_a 5.073
_cell_length_b 5.050
_cell_length_c 11.352
_cell_angle_alpha 63.60
_cell_angle_beta 90.00
_cell_angle_gamma 90.00
loop_
_atom_site_label
_atom_site_type_symbol
_atom_site_fract_x
_atom_site_fract_y
_atom_site_fract_z
_atom_site_occupancy
Ac1 Ac 0.500 0.500 0.000 1
Dy1 Dy 0.000 0.759 0.741 1
Dy2 Dy 0.000 0.241 0.259 1
Dy3 Dy 0.500 0.741 0.259 1
Dy4 Dy 0.500 0.259 0.741 1
Ho1 Ho 0.000 0.000 0.000 1
Ho2 Ho 0.500 0.000 0.500 1
Tm1 Tm 0.000 0.500 0.500 1
```

* space-group type: Pmmm (47)
* E_form: 0.04 eV/atom



# 6
Below is a geometry-optimized LiAc6CoNi structure, with properties calculated at the GGA-PBE level.

Cell and atoms, written as CIF:
```
data_LiAc6CoNi
_chemical_formula_sum 'Li1 Ac6 Co1 Ni1'
_space_group_name_H-M_alt 'P 1'
_space_group_IT_number 1
_space_group_name_Hall 'P 1'
_cell_length_a 7.405
_cell_length_b 7.405
_cell_length_c 7.153
_cell_angle_alpha 90.01
_cell_angle_beta 89.99
_cell_angle_gamma 59.99
loop_
_atom_site_label
_atom_site_type_symbol
_atom_site_fract_x
_atom_site_fract_y
_atom_site_fract_z
_atom_site_occupancy
Li1 Li 0.000 0.000 0.000 1
Ac1 Ac 0.006 0.368 0.262 1
Ac2 Ac 0.368 0.006 0.738 1
Ac3 Ac 0.626 0.368 0.738 1
Ac4 Ac 0.006 0.626 0.738 1
Ac5 Ac 0.368 0.626 0.262 1
Ac6 Ac 0.626 0.006 0.262 1
Co1 Co 0.333 0.333 0.500 1
Ni1 Ni 0.667 0.667 0.500 1
```

* space-group type: P312 (149)
* E_form: 0.04 eV/atom



# 7
Below is a geometry-optimized Pm2CdIO8 structure, with properties calculated at the GGA-PBE level.

Cell and atoms, written as CIF:
```
data_Pm2CdIO8
_chemical_formula_sum 'Pm2 Cd1 I1 O8'
_space_group_name_H-M_alt 'P 1'
_space_group_IT_number 1
_space_group_name_Hall 'P 1'
_cell_length_a 4.920
_cell_length_b 4.942
_cell_length_c 7.372
_cell_angle_alpha 88.84
_cell_angle_beta 88.95
_cell_angle_gamma 93.17
loop_
_atom_site_label
_atom_site_type_symbol
_atom_site_fract_x
_atom_site_fract_y
_atom_site_fract_z
_atom_site_occupancy
Pm1 Pm 0.457 0.459 0.748 1
Pm2 Pm 0.543 0.541 0.252 1
Cd1 Cd 0.000 0.000 0.500 1
I1 I 0.000 0.000 0.000 1
O1 O 0.139 0.777 0.187 1
O2 O 0.722 0.728 0.965 1
O3 O 0.782 0.140 0.189 1
O4 O 0.861 0.223 0.813 1
O5 O 0.278 0.272 0.035 1
O6 O 0.218 0.860 0.811 1
O7 O 0.695 0.696 0.521 1
O8 O 0.305 0.304 0.479 1
```

* space-group type: P-1 (2)
* calculated total energy: -5.9450 eV per atom



# 8
Below is a geometry-optimized CdAgW2 structure, with properties calculated at the GGA-PBE level.

Cell and atoms, written as CIF:
```
data_CdAgW2
_chemical_formula_sum 'Cd1 Ag1 W2'
_space_group_name_H-M_alt 'P 1'
_space_group_IT_number 1
_space_group_name_Hall 'P 1'
_cell_length_a 5.551
_cell_length_b 5.551
_cell_length_c 5.551
_cell_angle_alpha 145.25
_cell_angle_beta 134.21
_cell_angle_gamma 58.74
loop_
_atom_site_label
_atom_site_type_symbol
_atom_site_fract_x
_atom_site_fract_y
_atom_site_fract_z
_atom_site_occupancy
Ag1 Ag 0.750 0.250 0.500 1
W1 W 0.997 0.997 0.000 1
W2 W 0.503 0.503 0.000 1
Cd1 Cd 0.250 0.750 0.500 1
```

* space-group type: Immm (71)
* E_form: 0.64 eV/atom



# 9
Below is a geometry-optimized HoMnCoNi structure, with properties calculated at the GGA-PBE level.

Cell and atoms, written as CIF:
```
data_HoMnCoNi
_chemical_formula_sum 'Ho1 Mn1 Co1 Ni1'
_space_group_name_H-M_alt 'P 1'
_space_group_IT_number 1
_space_group_name_Hall 'P 1'
_cell_length_a 4.426
_cell_length_b 4.426
_cell_length_c 4.426
_cell_angle_alpha 60.00
_cell_angle_beta 60.00
_cell_angle_gamma 60.00
loop_
_atom_site_label
_atom_site_type_symbol
_atom_site_fract_x
_atom_site_fract_y
_atom_site_fract_z
_atom_site_occupancy
Ni1 Ni 0.250 0.250 0.250 1
Mn1 Mn 0.500 0.500 0.500 1
Co1 Co 0.750 0.750 0.750 1
Ho1 Ho 0.000 0.000 0.000 1
```

* space-group type: F-43m (216)
* E_form: -0.06 eV/atom



# 10
Below is a geometry-optimized Pr2GdDy structure, with properties calculated at the GGA-PBE level.

Cell and atoms, written as CIF:
```
data_Pr2GdDy
_chemical_formula_sum 'Pr2 Gd1 Dy1'
_space_group_name_H-M_alt 'P 1'
_space_group_IT_number 1
_space_group_name_Hall 'P 1'
_cell_length_a 3.657
_cell_length_b 3.657
_cell_length_c 10.200
_cell_angle_alpha 90.00
_cell_angle_beta 90.00
_cell_angle_gamma 90.00
loop_
_atom_site_label
_atom_site_type_symbol
_atom_site_fract_x
_atom_site_fract_y
_atom_site_fract_z
_atom_site_occupancy
Pr1 Pr 0.000 0.000 0.752 1
Pr2 Pr 0.000 0.000 0.248 1
Gd1 Gd 0.500 0.500 0.500 1
Dy1 Dy 0.500 0.500 0.000 1
```

* space-group type: P4/mmm (123)
* E_form: 0.02 eV/atom
* energy relative to the lowest polymorph listed for this composition: 3.0 meV per atom



# 11
Below is a geometry-optimized Pr2Ho3Tm7 structure, with properties calculated at the GGA-PBE level.

Cell and atoms, written as CIF:
```
data_Pr2Ho3Tm7
_chemical_formula_sum 'Pr2 Ho3 Tm7'
_space_group_name_H-M_alt 'P 1'
_space_group_IT_number 1
_space_group_name_Hall 'P 1'
_cell_length_a 3.597
_cell_length_b 5.629
_cell_length_c 18.977
_cell_angle_alpha 98.53
_cell_angle_beta 90.00
_cell_angle_gamma 90.00
loop_
_atom_site_label
_atom_site_type_symbol
_atom_site_fract_x
_atom_site_fract_y
_atom_site_fract_z
_atom_site_occupancy
Pr1 Pr 0.000 0.853 0.707 1
Pr2 Pr 0.000 0.147 0.293 1
Ho1 Ho 0.500 0.500 0.000 1
Ho2 Ho 0.500 0.687 0.373 1
Ho3 Ho 0.500 0.313 0.627 1
Tm1 Tm 0.000 0.412 0.824 1
Tm2 Tm 0.000 0.770 0.539 1
Tm3 Tm 0.000 0.000 0.000 1
Tm4 Tm 0.000 0.588 0.176 1
Tm5 Tm 0.500 0.070 0.140 1
Tm6 Tm 0.500 0.930 0.860 1
Tm7 Tm 0.000 0.230 0.461 1
```

* space-group type: Cmmm (65)
* E_form: 0.12 eV/atom
* energy relative to the lowest polymorph listed for this composition: 30.5 meV per atom



# 12
Below is a geometry-optimized Ac3ErPb4 structure, with properties calculated at the GGA-PBE level.

Cell and atoms, written as CIF:
```
data_Ac3ErPb4
_chemical_formula_sum 'Ac3 Er1 Pb4'
_space_group_name_H-M_alt 'P 1'
_space_group_IT_number 1
_space_group_name_Hall 'P 1'
_cell_length_a 5.472
_cell_length_b 7.861
_cell_length_c 7.861
_cell_angle_alpha 118.45
_cell_angle_beta 90.00
_cell_angle_gamma 90.00
loop_
_atom_site_label
_atom_site_type_symbol
_atom_site_fract_x
_atom_site_fract_y
_atom_site_fract_z
_atom_site_occupancy
Ac1 Ac 0.000 0.000 0.500 1
Ac2 Ac 0.500 0.500 0.500 1
Ac3 Ac 0.000 0.500 0.000 1
Er1 Er 0.500 0.000 0.000 1
Pb1 Pb 0.000 0.216 0.216 1
Pb2 Pb 0.500 0.763 0.237 1
Pb3 Pb 0.000 0.784 0.784 1
Pb4 Pb 0.500 0.237 0.763 1
```

* space-group type: Cmmm (65)
* E_form: -0.39 eV/atom



# 13
Below is a geometry-optimized GaFe4Co structure, with properties calculated at the GGA-PBE level.

Cell and atoms, written as CIF:
```
data_GaFe4Co
_chemical_formula_sum 'Ga1 Fe4 Co1'
_space_group_name_H-M_alt 'P 1'
_space_group_IT_number 1
_space_group_name_Hall 'P 1'
_cell_length_a 2.926
_cell_length_b 2.926
_cell_length_c 8.308
_cell_angle_alpha 90.00
_cell_angle_beta 90.00
_cell_angle_gamma 90.00
loop_
_atom_site_label
_atom_site_type_symbol
_atom_site_fract_x
_atom_site_fract_y
_atom_site_fract_z
_atom_site_occupancy
Ga1 Ga 0.000 0.000 0.000 1
Fe1 Fe 0.500 0.500 0.827 1
Fe2 Fe 0.500 0.500 0.173 1
Fe3 Fe 0.000 0.000 0.334 1
Fe4 Fe 0.000 0.000 0.666 1
Co1 Co 0.500 0.500 0.500 1
```

* space-group type: P4/mmm (123)
* E_form: -0.05 eV/atom